Record 1
{
  "formula": "CaOsBr2",
  "functional": "GGA-PBE",
  "state": "optimized geometry",
  "lattice": [[7.413, -1.738, 0.000], [7.413, 1.738, 0.000], [-0.285, 0.000, 4.882]],
  "species": ["Ca", "Os", "Br", "Br"],
  "frac_coords": [[0.000, 0.000, 0.000], [0.500, 0.500, 0.500], [0.356, 0.356, 0.236], [0.644, 0.644, 0.764]],
  "de_polymorph_mev_per_atom": 90
}

Record 2
{
  "formula": "BaBr3",
  "functional": "GGA-PBE",
  "state": "optimized geometry",
  "lattice": [[-2.372, 2.372, 12.466], [2.372, -2.372, 12.466], [2.372, 2.372, -12.466]],
  "species": ["Ba", "Ba", "Br", "Br", "Br", "Br", "Br", "Br"],
  "frac_coords": [[0.000, 0.000, 0.000], [0.750, 0.250, 0.500], [0.105, 0.625, 0.980], [0.250, 0.750, 0.500], [0.375, 0.355, 0.480], [0.500, 0.500, 0.000], [0.645, 0.125, 0.020], [0.875, 0.895, 0.520]],
  "energy_ev_per_atom": -3.07
}

Record 3
{
  "formula": "TmThCdAu",
  "functional": "GGA-PBE",
  "state": "optimized geometry",
  "lattice": [[0.000, 3.716, 3.716], [3.716, 0.000, 3.716], [3.716, 3.716, 0.000]],
  "species": ["Tm", "Th", "Cd", "Au"],
  "frac_coords": [[0.000, 0.000, 0.000], [0.500, 0.500, 0.500], [0.750, 0.750, 0.750], [0.250, 0.250, 0.250]],
  "formation_energy_ev_per_atom": -0.381
}

Record 4
{
  "formula": "SrCoMo2H",
  "functional": "GGA-PBE",
  "state": "optimized geometry",
  "lattice": [[3.897, 0.000, 0.000], [0.000, 3.897, 0.000], [0.000, 0.000, 5.113]],
  "species": ["Sr", "Co", "Mo", "Mo", "H"],
  "frac_coords": [[0.000, 0.000, 0.000], [0.500, 0.500, 0.000], [0.000, 0.500, 0.500], [0.500, 0.000, 0.500], [0.000, 0.000, 0.500]],
  "energy_ev_per_atom": -5.98
}